Entry 1:
A plane-wave DFT calculation with PBE was carried out for crystalline TmLuMnGa at its relaxed geometry.

Computed properties:
magnetic moment: 3.33 μB per cell
D(E_F): 1.2411 states/eV/atom
energy of formation: -0.18 eV per atom

Cell and atoms, written as POSCAR:
```
TmLuMnGa
1.0
0.000 3.499 3.499
3.499 0.000 3.499
3.499 3.499 0.000
Tm Lu Mn Ga
1 1 1 1
Direct
0.000 0.000 0.000 Tm
0.500 0.500 0.500 Lu
0.250 0.250 0.250 Mn
0.750 0.750 0.750 Ga
```

Entry 2:
A plane-wave DFT calculation with PBE was carried out for crystalline Ti7P4 at its relaxed geometry.

Computed properties:
magnetic moment: 0.00 μB per cell
D(E_F): 0.7146 states/eV/atom
energy of formation: -1.13 eV per atom

Cell and atoms, written as POSCAR:
```
Ti7P4
1.0
7.333 -1.693 0.000
7.333 1.693 0.000
-3.452 0.000 13.186
Ti P
14 8
Direct
0.000 0.000 0.000 Ti
0.003 0.003 0.663 Ti
0.178 0.178 0.541 Ti
0.196 0.196 0.308 Ti
0.205 0.205 0.794 Ti
0.339 0.339 0.031 Ti
0.430 0.430 0.830 Ti
0.500 0.500 0.500 Ti
0.570 0.570 0.170 Ti
0.661 0.661 0.969 Ti
0.795 0.795 0.206 Ti
0.804 0.804 0.692 Ti
0.822 0.822 0.459 Ti
0.997 0.997 0.337 Ti
0.062 0.062 0.850 P
0.178 0.178 0.110 P
0.370 0.370 0.342 P
0.373 0.373 0.604 P
0.627 0.627 0.396 P
0.630 0.630 0.658 P
0.822 0.822 0.890 P
0.938 0.938 0.150 P
```